The following is a PBE-GGA calculation of a relaxed structure of RbCdAg2F6, from the Alexandria database.

Properties
calculated total energy: -35.74 eV per formula unit
space-group type: C2/c (15)
Fermi-level density of states: 3.6 states/eV/f.u.
E_form (uncorrected): -1693 meV per atom
crystal system: monoclinic
V: 338 Å³/cell

Cell and atoms, written as POSCAR:
```
RbCdAg2F6
1.0
-0.554 5.546 2.904
-4.265 -2.519 5.497
5.283 -1.312 5.013
Cd Ag F Rb
2 4 12 2
direct
0.250 0.327 0.673
0.750 0.673 0.327
0.766 0.582 0.853
0.234 0.418 0.147
0.266 0.853 0.582
0.734 0.147 0.418
0.964 0.905 0.353
0.556 0.643 0.605
0.968 0.694 0.052
0.468 0.052 0.694
0.056 0.605 0.643
0.532 0.948 0.306
0.036 0.095 0.647
0.032 0.306 0.948
0.536 0.647 0.095
0.444 0.357 0.395
0.464 0.353 0.905
0.944 0.395 0.357
0.250 0.943 0.057
0.750 0.057 0.943
```

***

The following is a PBE-GGA calculation of a relaxed structure of RbCdAg2F8, from the Alexandria database.

Properties
calculated total energy: -42.03 eV per formula unit
space-group type: I-4 (82)
Fermi-level density of states: 1.3 states/eV/f.u.
E_form (uncorrected): -1623 meV per atom
crystal system: tetragonal
V: 186 Å³/cell

Cell and atoms, written as POSCAR:
```
RbCdAg2F8
1.0
6.125 0.000 0.000
0.000 6.125 0.000
-3.063 -3.063 4.966
F Ag Cd Rb
8 2 1 1
direct
0.576 0.719 0.519
0.195 0.684 0.977
0.707 0.805 0.023
0.201 0.424 0.481
0.943 0.799 0.519
0.281 0.057 0.481
0.783 0.293 0.977
0.316 0.217 0.023
0.250 0.750 0.500
0.500 0.500 0.000
0.000 0.000 0.000
0.750 0.250 0.500
```

***

The following is a PBE-GGA calculation of a relaxed structure of RbCd2Ag2F7, from the Alexandria database.

Properties
calculated total energy: -43.93 eV per formula unit
space-group type: C2/m (12)
E_form (uncorrected): -1861 meV per atom
crystal system: monoclinic
V: 217 Å³/cell

Cell and atoms, written as POSCAR:
```
RbCd2Ag2F7
1.0
-1.508 -3.715 1.899
3.836 -2.286 -1.426
3.686 5.575 8.652
F Ag Cd Rb
7 2 2 1
direct
0.500 0.500 0.000
0.897 0.395 0.794
0.717 0.716 0.434
0.103 0.605 0.206
0.283 0.284 0.566
0.391 0.891 0.783
0.609 0.109 0.217
0.727 0.226 0.454
0.273 0.774 0.546
0.394 0.393 0.787
0.606 0.607 0.213
0.000 0.000 0.000
```

***

The following is a PBE-GGA calculation of a relaxed structure of Rb4CdAg3F12, from the Alexandria database.

Properties
calculated total energy: -75.90 eV per formula unit
space-group type: Im-3m (229)
Fermi-level density of states: 4.5 states/eV/f.u.
E_form (uncorrected): -2005 meV per atom
crystal system: cubic
V: 353 Å³/cell

Cell and atoms, written as POSCAR:
```
Rb4CdAg3F12
1.0
-3.897 0.694 -6.620
1.699 -7.425 1.217
-4.325 2.635 5.818
Rb Ag F Cd
4 3 12 1
direct
0.500 0.000 0.000
0.000 0.000 0.500
0.500 0.500 0.500
0.000 0.500 0.000
0.500 0.500 0.000
0.500 0.000 0.500
0.000 0.500 0.500
0.500 0.250 0.750
0.751 0.000 0.751
0.751 0.751 0.000
0.000 0.751 0.751
0.750 0.250 0.500
0.750 0.500 0.250
0.000 0.249 0.249
0.249 0.249 0.000
0.250 0.750 0.500
0.250 0.500 0.750
0.500 0.750 0.250
0.249 0.000 0.249
0.000 0.000 0.000
```